The following is a PBE calculation of a relaxed Li2BePS4 crystal, from the Alexandria database.

a = 5.560 Å, b = 5.556 Å, c = 6.185 Å
α = 116.66°, β = 116.66°, γ = 90.07°
Atoms (fractional coordinates):
Li 0.486 0.986 0.971
Li 0.236 0.236 0.471
Be 0.986 0.486 0.972
P 0.736 0.736 0.472
S 0.657 0.608 0.731
S 0.863 0.398 0.213
S 0.349 0.815 0.213
S 0.074 0.122 0.731

Computed properties:
Its total energy is -4.399 eV/atom. The uncorrected formation energy comes out at -715 meV per atom. Its space group is C2 (5).

The following is a PBE calculation of a relaxed LiBeP2S crystal, from the Alexandria database.

a = 4.142 Å, b = 4.142 Å, c = 4.912 Å
α = 90.00°, β = 90.00°, γ = 90.00°
Atoms (fractional coordinates):
P 0.000 0.500 0.000
P 0.500 0.000 0.000
S 0.000 0.000 0.500
Li 0.500 0.500 0.500
Be 0.000 0.000 0.000

Computed properties:
Its energy above the most stable polymorph in this dataset is 0 meV per atom. Its total energy is -3.828 eV/atom. The uncorrected formation energy comes out at 289 meV per atom. Its space group is P4/mmm (123).

The following is a PBE calculation of a relaxed LiBeP2S crystal, from the Alexandria database.

a = 4.207 Å, b = 4.207 Å, c = 4.563 Å
α = 90.00°, β = 90.00°, γ = 90.00°
Atoms (fractional coordinates):
P 0.000 0.500 0.000
P 0.500 0.000 0.000
S 0.000 0.000 0.500
Li 0.000 0.000 0.000
Be 0.500 0.500 0.500

Computed properties:
Its energy above the most stable polymorph in this dataset is 737 meV per atom. Its total energy is -3.091 eV/atom. The uncorrected formation energy comes out at 1027 meV per atom. Its space group is P4/mmm (123).

The following is a PBE calculation of a relaxed LiBeSn2P crystal, from the Alexandria database.

a = 5.301 Å, b = 3.936 Å, c = 5.301 Å
α = 90.00°, β = 90.00°, γ = 90.00°
Atoms (fractional coordinates):
P 0.000 0.500 0.000
Li 0.500 0.500 0.500
Sn 0.000 0.000 0.500
Sn 0.500 0.000 0.000
Be 0.000 0.000 0.000

Computed properties:
Its total energy is -3.559 eV/atom. Its space group is P4/mmm (123).

The following is a PBE calculation of a relaxed Sr2LiBeP2 crystal, from the Alexandria database.

a = 5.966 Å, b = 5.892 Å, c = 8.149 Å
α = 111.19°, β = 111.47°, γ = 90.00°
Each line ends with the local moment (μB).
Atoms (fractional coordinates):
Sr 0.409 0.163 0.327  0.12
Sr 0.591 0.837 0.673  0.12
Sr 0.083 0.337 0.673  0.12
Sr 0.917 0.663 0.327  0.12
Li 0.000 0.750 0.000  0.01
Li 0.000 0.250 0.000  0.01
Be 0.500 0.750 0.000  0.03
Be 0.500 0.250 0.000  0.03
P 0.812 0.091 0.181  -0.02
P 0.369 0.591 0.181  -0.02
P 0.631 0.409 0.819  -0.02
P 0.188 0.909 0.819  -0.02

Computed properties:
Its total energy is -4.010 eV/atom. Its space group is Ibam (72).

The following is a PBE calculation of a relaxed LiBe2TlP crystal, from the Alexandria database.

a = 4.326 Å, b = 4.707 Å, c = 4.326 Å
α = 90.00°, β = 90.00°, γ = 90.00°
Atoms (fractional coordinates):
P 0.500 0.500 0.500
Tl 0.000 0.500 0.000
Li 0.000 0.000 0.000
Be 0.000 0.000 0.500
Be 0.500 0.000 0.000

Computed properties:
Its total energy is -2.246 eV/atom. Its space group is P4/mmm (123).

The following is a PBE calculation of a relaxed LiYBe2P crystal, from the Alexandria database.

a = 4.824 Å, b = 5.307 Å, c = 4.824 Å
α = 90.00°, β = 90.00°, γ = 90.00°
Atoms (fractional coordinates):
Y 0.000 0.000 0.000
P 0.500 0.500 0.500
Li 0.000 0.500 0.000
Be 0.000 0.000 0.500
Be 0.500 0.000 0.000

Computed properties:
Its total energy is -2.437 eV/atom. Its space group is P4/mmm (123).

The following is a PBE calculation of a relaxed LiPaBe17 crystal, from the Alexandria database.

a = 5.765 Å, b = 5.765 Å, c = 5.765 Å
α = 83.33°, β = 83.33°, γ = 83.33°
Atoms (fractional coordinates):
Li 0.662 0.662 0.662
Pa 0.346 0.346 0.346
Be 0.285 0.994 0.717
Be 0.717 0.285 0.994
Be 0.994 0.717 0.285
Be 0.285 0.717 0.994
Be 0.994 0.285 0.717
Be 0.717 0.994 0.285
Be 0.341 0.844 0.341
Be 0.341 0.341 0.844
Be 0.844 0.341 0.341
Be 0.663 0.141 0.663
Be 0.663 0.663 0.141
Be 0.141 0.663 0.663
Be 0.008 0.494 0.008
Be 0.008 0.008 0.494
Be 0.494 0.008 0.008
Be 0.903 0.903 0.903
Be 0.097 0.097 0.097

Computed properties:
Its total energy is -3.916 eV/atom. Its space group is R3m (160).

The following is a PBE calculation of a relaxed LiPa2Be3Pt4 crystal, from the Alexandria database.

a = 3.925 Å, b = 3.925 Å, c = 10.296 Å
α = 90.00°, β = 90.00°, γ = 90.00°
Atoms (fractional coordinates):
Li 0.500 0.500 0.500
Pa 0.500 0.000 0.242
Pa 0.000 0.500 0.758
Be 0.000 0.000 0.500
Be 0.500 0.000 0.878
Be 0.000 0.500 0.122
Pt 0.500 0.500 0.000
Pt 0.000 0.000 0.000
Pt 0.500 0.000 0.650
Pt 0.000 0.500 0.350

Computed properties:
Its total energy is -6.352 eV/atom. Its space group is P-4m2 (115).

The following is a PBE calculation of a relaxed Li2PaBeS4 crystal, from the Alexandria database.

a = 5.623 Å, b = 6.938 Å, c = 8.486 Å
α = 90.00°, β = 90.00°, γ = 90.00°
Each line ends with the local moment (μB).
Atoms (fractional coordinates):
Li 0.463 0.342 0.256  0.00
Li 0.463 0.342 0.744  0.00
Li 0.963 0.658 0.756  0.00
Li 0.963 0.658 0.244  0.00
Pa 0.929 0.159 0.500  0.96
Pa 0.429 0.841 0.000  0.96
Be 0.513 0.825 0.500  0.00
Be 0.013 0.175 0.000  0.00
S 0.384 0.210 0.000  -0.02
S 0.884 0.790 0.500  -0.02
S 0.430 0.135 0.500  -0.02
S 0.930 0.865 0.000  -0.02
S 0.409 0.691 0.716  -0.02
S 0.909 0.309 0.216  -0.02
S 0.909 0.309 0.784  -0.02
S 0.409 0.691 0.284  -0.02

Computed properties:
Its total energy is -5.405 eV/atom. The uncorrected formation energy comes out at -1210 meV per atom. Its space group is Pmn2_1 (31).

The following is a PBE calculation of a relaxed LiPaBeSi2 crystal, from the Alexandria database.

a = 3.900 Å, b = 3.900 Å, c = 5.823 Å
α = 109.56°, β = 109.56°, γ = 90.00°
Atoms (fractional coordinates):
Li 0.250 0.750 0.500
Pa 0.000 0.000 0.000
Be 0.750 0.250 0.500
Si 0.617 0.617 0.235
Si 0.383 0.383 0.765

Computed properties:
Its total energy is -5.507 eV/atom. The uncorrected formation energy comes out at -310 meV per atom. Its space group is I-4m2 (119).

The following is a PBE calculation of a relaxed LiBePb2 crystal, from the Alexandria database.

a = 3.456 Å, b = 3.456 Å, c = 7.844 Å
α = 90.00°, β = 90.00°, γ = 105.94°
Atoms (fractional coordinates):
Be 0.500 0.500 0.250
Li 0.500 0.500 0.750
Pb 0.000 0.000 0.029
Pb 0.000 0.000 0.471

Computed properties:
Its total energy is -3.040 eV/atom. Its space group is Cmmm (65).

The following is a PBE calculation of a relaxed LiBe2Pb crystal, from the Alexandria database.

a = 4.219 Å, b = 3.123 Å, c = 4.925 Å
α = 98.12°, β = 90.00°, γ = 90.00°
Atoms (fractional coordinates):
Be 0.000 0.888 0.058
Be 0.000 0.612 0.442
Li 0.500 0.250 0.250
Pb 0.500 0.750 0.750

Computed properties:
Its total energy is -2.821 eV/atom. Its space group is P2/m (10).

The following is a PBE calculation of a relaxed Li3BePb crystal, from the Alexandria database.

a = 5.142 Å, b = 5.142 Å, c = 5.142 Å
α = 90.00°, β = 90.00°, γ = 90.00°
Atoms (fractional coordinates):
Pb 0.000 0.000 0.000
Be 0.500 0.500 0.500
Li 0.000 0.500 0.000
Li 0.000 0.000 0.500
Li 0.500 0.000 0.000

Computed properties:
Its energy above the most stable polymorph in this dataset is 389 meV per atom. Its total energy is -1.970 eV/atom. Its space group is Pm-3m (221).

The following is a PBE calculation of a relaxed LiBePb crystal, from the Alexandria database.

a = 4.950 Å, b = 4.612 Å, c = 3.758 Å
α = 71.69°, β = 62.19°, γ = 46.12°
Atoms (fractional coordinates):
Be 0.001 0.001 0.999
Li 0.334 0.334 0.666
Pb 0.665 0.665 0.335

Computed properties:
Its energy above the most stable polymorph in this dataset is 176 meV per atom. Its total energy is -2.849 eV/atom. Its space group is Fmm2 (42).

The following is a PBE calculation of a relaxed LiBe2Pb crystal, from the Alexandria database.

a = 3.498 Å, b = 3.499 Å, c = 5.176 Å
α = 90.00°, β = 90.00°, γ = 90.00°
Atoms (fractional coordinates):
Be 0.000 0.000 0.024
Be 0.000 0.000 0.476
Li 0.500 0.500 0.250
Pb 0.500 0.500 0.750

Computed properties:
Its total energy is -2.779 eV/atom. Its space group is P4/mmm (123).

The following is a PBE calculation of a relaxed LiBePb crystal, from the Alexandria database.

a = 4.367 Å, b = 4.367 Å, c = 4.367 Å
α = 60.00°, β = 60.00°, γ = 60.00°
Atoms (fractional coordinates):
Be 0.000 0.000 0.000
Li 0.500 0.500 0.500
Pb 0.750 0.750 0.750

Computed properties:
Its energy above the most stable polymorph in this dataset is 208 meV per atom. Its total energy is -2.817 eV/atom. Its space group is F-43m (216).

The following is a PBE calculation of a relaxed LiBePb crystal, from the Alexandria database.

a = 4.276 Å, b = 4.276 Å, c = 4.276 Å
α = 60.00°, β = 60.00°, γ = 60.00°
Atoms (fractional coordinates):
Be 0.750 0.750 0.750
Li 0.000 0.000 0.000
Pb 0.500 0.500 0.500

Computed properties:
Its energy above the most stable polymorph in this dataset is 44 meV per atom. Its total energy is -2.981 eV/atom. Its space group is F-43m (216).

The following is a PBE calculation of a relaxed LiBePb2 crystal, from the Alexandria database.

a = 5.150 Å, b = 5.150 Å, c = 5.150 Å
α = 60.00°, β = 60.00°, γ = 60.00°
Atoms (fractional coordinates):
Be 0.500 0.500 0.500
Li 0.750 0.750 0.750
Pb 0.000 0.000 0.000
Pb 0.250 0.250 0.250

Computed properties:
Its total energy is -2.825 eV/atom. Its space group is F-43m (216).

The following is a PBE calculation of a relaxed LiBe2Pb crystal, from the Alexandria database.

a = 3.924 Å, b = 3.924 Å, c = 3.869 Å
α = 90.00°, β = 90.00°, γ = 90.08°
Atoms (fractional coordinates):
Be 0.000 0.000 0.000
Be 0.500 0.500 0.000
Li 0.500 0.000 0.500
Pb 0.000 0.500 0.500

Computed properties:
Its total energy is -2.849 eV/atom. Its space group is Cmmm (65).

The following is a PBE calculation of a relaxed LiBePb2 crystal, from the Alexandria database.

a = 3.552 Å, b = 4.285 Å, c = 5.789 Å
α = 90.00°, β = 90.00°, γ = 90.00°
Atoms (fractional coordinates):
Be 0.000 0.000 0.474
Li 0.500 0.500 0.767
Pb 0.000 0.000 0.960
Pb 0.500 0.500 0.299

Computed properties:
Its total energy is -2.959 eV/atom. Its space group is Pmm2 (25).

The following is a PBE calculation of a relaxed LiBe2Pb crystal, from the Alexandria database.

a = 4.397 Å, b = 4.397 Å, c = 4.397 Å
α = 60.00°, β = 60.00°, γ = 60.00°
Atoms (fractional coordinates):
Be 0.000 0.000 0.000
Be 0.250 0.250 0.250
Li 0.500 0.500 0.500
Pb 0.750 0.750 0.750

Computed properties:
Its total energy is -2.786 eV/atom. Its space group is F-43m (216).

The following is a PBE calculation of a relaxed Li2BePb2 crystal, from the Alexandria database.

a = 6.941 Å, b = 6.941 Å, c = 4.568 Å
α = 90.00°, β = 90.00°, γ = 90.00°
Atoms (fractional coordinates):
Pb 0.342 0.842 0.000
Pb 0.842 0.658 0.000
Pb 0.658 0.158 0.000
Pb 0.158 0.342 0.000
Be 0.000 0.000 0.000
Be 0.500 0.500 0.000
Li 0.152 0.652 0.500
Li 0.652 0.848 0.500
Li 0.848 0.348 0.500
Li 0.348 0.152 0.500

Computed properties:
Its total energy is -2.897 eV/atom. Its space group is P4/mbm (127).

The following is a PBE calculation of a relaxed LiBe4Pb crystal, from the Alexandria database.

a = 4.736 Å, b = 4.736 Å, c = 4.736 Å
α = 60.00°, β = 60.00°, γ = 60.00°
Atoms (fractional coordinates):
Li 0.750 0.750 0.750
Be 0.861 0.380 0.380
Be 0.380 0.380 0.861
Be 0.380 0.861 0.380
Be 0.380 0.380 0.380
Pb 0.000 0.000 0.000

Computed properties:
Its total energy is -3.081 eV/atom. Its space group is F-43m (216).

The following is a PBE calculation of a relaxed LiBe3Pb crystal, from the Alexandria database.

a = 4.244 Å, b = 4.244 Å, c = 4.244 Å
α = 90.00°, β = 90.00°, γ = 90.00°
Atoms (fractional coordinates):
Pb 0.500 0.500 0.500
Be 0.000 0.500 0.000
Be 0.000 0.000 0.500
Be 0.500 0.000 0.000
Li 0.000 0.000 0.000

Computed properties:
Its energy above the most stable polymorph in this dataset is 0 meV per atom. Its total energy is -2.387 eV/atom. Its space group is Pm-3m (221).

The following is a PBE calculation of a relaxed LiBePb2 crystal, from the Alexandria database.

a = 4.502 Å, b = 4.502 Å, c = 6.379 Å
α = 78.57°, β = 78.57°, γ = 44.36°
Atoms (fractional coordinates):
Be 0.750 0.750 0.750
Li 0.250 0.250 0.250
Pb 0.009 0.009 0.973
Pb 0.491 0.491 0.527

Computed properties:
Its total energy is -3.033 eV/atom. Its space group is C2/m (12).

The following is a PBE calculation of a relaxed LiBePb crystal, from the Alexandria database.

a = 3.859 Å, b = 4.709 Å, c = 6.971 Å
α = 74.47°, β = 75.84°, γ = 89.96°
Atoms (fractional coordinates):
Li 0.260 0.752 0.125
Li 0.485 0.679 0.620
Be 0.328 0.336 0.974
Be 0.854 0.570 0.911
Pb 0.925 0.139 0.750
Pb 0.704 0.180 0.259

Computed properties:
Its energy above the most stable polymorph in this dataset is 26 meV per atom. Its total energy is -2.999 eV/atom. Its space group is P1 (1).